(1)
Computed, not measured: a geometry-optimized LaZr2Pt structure at the GGA-PBE level of DFT.

Cell lengths 5.086, 5.086, 3.341 Å; angles 90.00, 90.00, 90.00 degrees
Fractional positions:
La: 0.000 0.000 0.000
Zr: 0.000 0.500 0.500
Zr: 0.500 0.000 0.500
Pt: 0.500 0.500 0.000

Crystal system: tetragonal
Size of the total moment (μB/f.u.): 0.0
VASP energy (eV/atom): -7.23
ΔE_f (eV per atom): -0.215

=====

(2)
Computed, not measured: a geometry-optimized La2ZrPt structure at the GGA-PBE level of DFT.

Cell lengths 6.044, 6.044, 6.044 Å; angles 143.34, 126.94, 66.22 degrees
Fractional positions:
La: 0.221 0.221 0.000
La: 0.779 0.779 0.000
Zr: 0.500 0.000 0.500
Pt: 0.000 0.500 0.500

Crystal system: orthorhombic
Size of the total moment (μB/f.u.): 0.0
VASP energy (eV/atom): -6.40
ΔE_f (eV per atom): -0.289

=====

(3)
Computed, not measured: a geometry-optimized LaZr2Pt structure at the GGA-PBE level of DFT.

Cell lengths 5.798, 5.798, 3.351 Å; angles 102.10, 102.10, 118.55 degrees
Fractional positions:
La: 0.000 0.000 0.000
Zr: 0.000 0.500 0.500
Zr: 0.500 0.000 0.500
Pt: 0.500 0.500 0.000

Crystal system: monoclinic
Size of the total moment (μB/f.u.): 0.0
VASP energy (eV/atom): -7.19
ΔE_f (eV per atom): -0.174

=====

(4)
Computed, not measured: a geometry-optimized LaPu2 structure at the GGA-PBE level of DFT.

Cell lengths 6.247, 6.247, 6.247 Å; angles 60.00, 60.00, 60.00 degrees
Fractional positions:
La: 0.125 0.125 0.125
La: 0.875 0.875 0.875
Pu: 0.000 0.500 0.500
Pu: 0.500 0.000 0.500
Pu: 0.500 0.500 0.000
Pu: 0.500 0.500 0.500

Crystal system: cubic
Size of the total moment (μB/f.u.): 11.3
VASP energy (eV/atom): -10.96
ΔE_f (eV per atom): 0.234

=====

(5)
Computed, not measured: a geometry-optimized La5Pu structure at the GGA-PBE level of DFT.

Cell lengths 6.373, 6.373, 10.273 Å; angles 113.77, 113.77, 33.23 degrees
Fractional positions:
La: 0.000 0.000 0.000
La: 0.338 0.338 0.182
La: 0.340 0.340 0.660
La: 0.660 0.660 0.340
La: 0.662 0.662 0.818
Pu: 0.000 0.000 0.500

Crystal system: monoclinic
Size of the total moment (μB/f.u.): 6.2
VASP energy (eV/atom): -6.42
ΔE_f (eV per atom): 0.071

=====

(6)
Computed, not measured: a geometry-optimized LaPu3 structure at the GGA-PBE level of DFT.

Cell lengths 5.955, 5.955, 5.955 Å; angles 131.77, 131.77, 70.60 degrees
Fractional positions:
La: 0.000 0.000 0.000
Pu: 0.250 0.750 0.500
Pu: 0.500 0.500 0.000
Pu: 0.750 0.250 0.500

Crystal system: tetragonal
Size of the total moment (μB/f.u.): 17.6
VASP energy (eV/atom): -11.68
ΔE_f (eV per atom): 0.300

=====

(7)
Computed, not measured: a geometry-optimized LaPu2 structure at the GGA-PBE level of DFT.

Cell lengths 6.787, 6.787, 6.787 Å; angles 152.02, 152.02, 39.98 degrees
Fractional positions:
La: 0.000 0.000 0.000
Pu: 0.283 0.283 0.000
Pu: 0.717 0.717 0.000

Crystal system: tetragonal
Size of the total moment (μB/f.u.): 0.0
VASP energy (eV/atom): -10.87
ΔE_f (eV per atom): 0.326

=====

(8)
Computed, not measured: a geometry-optimized LaPu3 structure at the GGA-PBE level of DFT.

Cell lengths 4.865, 4.865, 4.865 Å; angles 90.00, 90.00, 90.00 degrees
Fractional positions:
La: 0.000 0.000 0.000
Pu: 0.000 0.500 0.500
Pu: 0.500 0.000 0.500
Pu: 0.500 0.500 0.000

Crystal system: cubic
Size of the total moment (μB/f.u.): 17.7
VASP energy (eV/atom): -11.69
ΔE_f (eV per atom): 0.292

=====

(9)
Computed, not measured: a geometry-optimized LaPu5 structure at the GGA-PBE level of DFT.

Cell lengths 6.431, 6.431, 5.369 Å; angles 90.00, 90.00, 130.03 degrees
Fractional positions:
La: 0.000 0.000 0.000
Pu: 0.177 0.823 0.500
Pu: 0.330 0.670 0.000
Pu: 0.500 0.500 0.500
Pu: 0.670 0.330 0.000
Pu: 0.823 0.177 0.500

Crystal system: orthorhombic
Size of the total moment (μB/f.u.): 30.4
VASP energy (eV/atom): -12.43
ΔE_f (eV per atom): 0.331

=====

(10)
Computed, not measured: a geometry-optimized La5Pu structure at the GGA-PBE level of DFT.

Cell lengths 9.797, 9.797, 3.742 Å; angles 90.00, 90.00, 144.20 degrees
Fractional positions:
La: 0.000 0.000 0.000
La: 0.181 0.819 0.500
La: 0.359 0.641 0.000
La: 0.641 0.359 0.000
La: 0.819 0.181 0.500
Pu: 0.500 0.500 0.500

Crystal system: orthorhombic
Size of the total moment (μB/f.u.): 6.6
VASP energy (eV/atom): -6.38
ΔE_f (eV per atom): 0.118

=====

(11)
Computed, not measured: a geometry-optimized La2Pu structure at the GGA-PBE level of DFT.

Cell lengths 8.100, 8.100, 8.100 Å; angles 154.31, 154.31, 36.65 degrees
Fractional positions:
La: 0.161 0.161 0.000
La: 0.839 0.839 0.000
Pu: 0.500 0.500 0.000

Crystal system: tetragonal
Size of the total moment (μB/f.u.): 6.1
VASP energy (eV/atom): -7.94
ΔE_f (eV per atom): 0.118

=====

(12)
Computed, not measured: a geometry-optimized Rb2LaPuS4 structure at the GGA-PBE level of DFT.

Cell lengths 7.366, 4.241, 8.047 Å; angles 90.00, 107.78, 90.00 degrees
Fractional positions:
Rb: 0.000 0.000 0.000
Rb: 0.500 0.500 0.000
La: 0.000 0.500 0.500
Pu: 0.500 0.000 0.500
S: 0.239 0.000 0.697
S: 0.279 0.500 0.309
S: 0.721 0.500 0.691
S: 0.761 0.000 0.303

Crystal system: monoclinic
Size of the total moment (μB/f.u.): 5.0
VASP energy (eV/atom): -6.42

=====

(13)
Computed, not measured: a geometry-optimized Rb4La3PuS8 structure at the GGA-PBE level of DFT.

Cell lengths 9.132, 9.132, 9.132 Å; angles 56.05, 56.05, 56.05 degrees
Fractional positions:
Rb: 0.000 0.000 0.000
Rb: 0.000 0.500 0.500
Rb: 0.500 0.000 0.500
Rb: 0.500 0.500 0.000
La: 0.000 0.000 0.500
La: 0.000 0.500 0.000
La: 0.500 0.000 0.000
Pu: 0.500 0.500 0.500
S: 0.233 0.233 0.233
S: 0.239 0.728 0.728
S: 0.272 0.272 0.761
S: 0.272 0.761 0.272
S: 0.728 0.239 0.728
S: 0.728 0.728 0.239
S: 0.761 0.272 0.272
S: 0.767 0.767 0.767

Crystal system: trigonal
Size of the total moment (μB/f.u.): 5.0
VASP energy (eV/atom): -5.92

=====

(14)
Computed, not measured: a geometry-optimized Rb3LaPu2S6 structure at the GGA-PBE level of DFT.

Cell lengths 7.289, 7.289, 8.040 Å; angles 98.70, 98.70, 120.00 degrees
Fractional positions:
Rb: 0.000 0.000 0.000
Rb: 0.334 0.666 0.000
Rb: 0.666 0.334 0.000
La: 0.500 0.500 0.500
Pu: 0.167 0.833 0.500
Pu: 0.833 0.167 0.500
S: 0.092 0.436 0.307
S: 0.220 0.220 0.693
S: 0.436 0.092 0.307
S: 0.564 0.908 0.693
S: 0.780 0.780 0.307
S: 0.908 0.564 0.693

Crystal system: monoclinic
Size of the total moment (μB/f.u.): 10.0
VASP energy (eV/atom): -6.76